Record 1
Density functional theory data (PBE) for crystalline CsRb2RuCl6 at its relaxed geometry.

Unit cell a=7.2527 b=7.2527 c=16.9941 alpha=77.68 beta=77.68 gamma=60.00
Last column: nearest neighbours and their distance in Å.
Positions (direct):
Rb: 0.3128 0.3128 0.0617  9 Cl 3.31-3.65
Rb: 0.1457 0.1457 0.5628  9 Cl 3.31-3.65
Cl: 0.8176 0.8176 0.0856  1 Ru 2.39
Cs: 0.5856 0.5856 0.2431  6 Cl 3.44
Ru: 0.0000 0.0000 0.0000  6 Cl 2.39
Cl: 0.7209 0.1824 0.9144  1 Ru 2.39
Cs: 0.4144 0.4144 0.7569  6 Cl 3.44
Cl: 0.6266 0.6266 0.5851  1 Ru 2.40
Cl: 0.3734 0.8383 0.4149  1 Ru 2.40
Rb: 0.6872 0.6872 0.9383  9 Cl 3.31-3.65
Cl: 0.8383 0.3734 0.4149  1 Ru 2.40
Cl: 0.6266 0.1617 0.5851  1 Ru 2.40
Cl: 0.3734 0.3734 0.4149  1 Ru 2.40
Cl: 0.1824 0.7209 0.9144  1 Ru 2.39
Cl: 0.8176 0.2791 0.0856  1 Ru 2.39
Ru: 0.5000 0.5000 0.5000  6 Cl 2.40
Cl: 0.2791 0.8176 0.0856  1 Ru 2.39
Cl: 0.1617 0.6266 0.5851  1 Ru 2.40
Cl: 0.1824 0.1824 0.9144  1 Ru 2.39
Rb: 0.8543 0.8543 0.4372  9 Cl 3.31-3.65

Output
The formation energy (no corrections) comes out at -1.3782 eV/atom. The space-group type is R-3m. The calculation puts the total magnetic moment at 0.100 μB/atom.



Record 2
Density functional theory data (PBE) for crystalline Al2V2CoNi7 at its relaxed geometry.

Unit cell a=3.3007 b=3.3007 c=14.1992 alpha=83.37 beta=83.37 gamma=90.00
Last column: nearest neighbours and their distance in Å.
Positions (direct):
V: 0.6307 0.6307 0.7364  5 Ni 2.44-2.58
Co: 0.0000 0.0000 0.0000  12 Ni 2.33-2.51
V: 0.3693 0.3693 0.2636  5 Ni 2.44-2.58
Al: 0.8135 0.8135 0.3751  5 Ni 2.48-2.55
Ni: 0.9329 0.4328 0.1354  6 Ni 2.33-2.51, 2 V 2.44, 2 Co 2.51
Ni: 0.4328 0.9329 0.1354  6 Ni 2.33-2.51, 2 V 2.44, 2 Co 2.51
Al: 0.1865 0.1865 0.6249  5 Ni 2.48-2.55
Ni: 0.5000 0.5000 0.0000  4 Co 2.33, 8 Ni 2.51
Ni: 0.7230 0.7230 0.5521  5 Al 2.48-2.55, 1 V 2.58, 4 Ni 2.74-2.76
Ni: 0.2770 0.2770 0.4479  5 Al 2.48-2.55, 1 V 2.58, 4 Ni 2.74-2.76
Ni: 0.0671 0.5672 0.8646  6 Ni 2.33-2.51, 2 V 2.44, 2 Co 2.51
Ni: 0.5672 0.0671 0.8646  6 Ni 2.33-2.51, 2 V 2.44, 2 Co 2.51

Output
Its formation enthalpy at 0 K is 84 meV/atom. The space-group type is C2/m. The calculation puts the total magnetic moment at 0.093 μB/atom.



Record 3
Density functional theory data (PBE) for crystalline Ca2ZnCl at its relaxed geometry.

Unit cell a=3.9477 b=3.9477 c=8.4602 alpha=76.51 beta=76.51 gamma=60.00
Last column: nearest neighbours and their distance in Å.
Positions (direct):
Zn: 0.6679 0.6679 0.9963  6 Ca 3.00
Ca: 0.2545 0.2545 0.2364  3 Zn 3.00, 3 Cl 3.19
Ca: 0.0809 0.0809 0.7573  3 Zn 3.00, 3 Cl 3.04
Cl: 0.4967 0.4967 0.5100  6 Ca 3.04-3.19

Output
The formation energy (no corrections) comes out at -0.8552 eV/atom. The space-group type is R3m. The calculation puts the energy relative to the lowest polymorph listed for this composition at 55.6 meV/atom. The calculation puts the total magnetic moment at 0.117 μB/atom.



Record 4
Density functional theory data (PBE) for crystalline CsKTa2 at its relaxed geometry.

Unit cell a=5.5143 b=5.5143 c=5.5143 alpha=60.00 beta=60.00 gamma=60.00
Last column: nearest neighbours and their distance in Å.
Positions (direct):
K: 0.0000 0.0000 0.0000  8 Ta 3.38
Cs: 0.5000 0.5000 0.5000  8 Ta 3.38
Ta: 0.2500 0.2500 0.2500  4 K 3.38, 4 Cs 3.38
Ta: 0.7500 0.7500 0.7500  4 K 3.38, 4 Cs 3.38

Output
Its formation enthalpy at 0 K is 2723 meV/atom. The space-group type is Fm-3m. The calculation puts the total magnetic moment at 1.010 μB/atom.



Record 5
Density functional theory data (PBE) for crystalline Na2InGeSe4 at its relaxed geometry.

Unit cell a=7.3153 b=7.3153 c=7.3153 alpha=80.66 beta=125.53 gamma=125.53
Last column: nearest neighbours and their distance in Å.
Positions (direct):
Se: 0.9646 0.5882 0.1338  1 Ge 2.55, 1 In 2.64
Se: 0.0354 0.1692 0.6235  1 Ge 2.55, 1 In 2.64
Se: 0.4544 0.8662 0.8308  1 Ge 2.55, 1 In 2.64
Se: 0.5456 0.3765 0.4118  1 Ge 2.55, 1 In 2.64
Na: 0.5000 0.7500 0.2500  4 Se 2.92
Na: 0.0000 0.0000 0.0000  4 Se 2.92
Ge: 0.0000 0.5000 0.5000  4 Se 2.55
In: 0.5000 0.2500 0.7500  4 Se 2.64

Output
The formation energy (no corrections) comes out at -0.6449 eV/atom. The space-group type is I-4. The calculation puts the total magnetic moment at 0.000 μB/atom.



Record 6
Density functional theory data (PBE) for crystalline CePm14Nd at its relaxed geometry.

Unit cell a=7.2996 b=7.2996 c=10.3160 alpha=90.00 beta=90.00 gamma=90.00
Last column: nearest neighbours and their distance in Å.
Positions (direct):
Pm: 0.6270 0.3730 0.2488  10 Pm 3.62-3.68, 1 Ce 3.63, 1 Nd 3.66
Pm: 0.8747 0.1253 0.5000  12 Pm 3.64-3.65
Nd: 0.3747 0.6253 0.0000  12 Pm 3.65-3.66
Pm: 0.1230 0.8770 0.2488  10 Pm 3.62-3.68, 1 Ce 3.62, 1 Nd 3.65
Pm: 0.3753 0.1253 0.0000  8 Pm 3.64, 2 Nd 3.65, 2 Ce 3.65
Pm: 0.6270 0.3730 0.7512  10 Pm 3.62-3.68, 1 Ce 3.63, 1 Nd 3.66
Pm: 0.8752 0.6252 0.5000  12 Pm 3.65-3.66
Pm: 0.6269 0.8769 0.7512  10 Pm 3.62-3.68, 1 Ce 3.63, 1 Nd 3.65
Pm: 0.6269 0.8769 0.2488  10 Pm 3.62-3.68, 1 Ce 3.63, 1 Nd 3.65
Pm: 0.1230 0.8770 0.7512  10 Pm 3.62-3.68, 1 Ce 3.62, 1 Nd 3.65
Pm: 0.1231 0.3731 0.7512  10 Pm 3.62-3.68, 1 Ce 3.63, 1 Nd 3.65
Pm: 0.8747 0.6247 0.0000  8 Pm 3.64, 2 Nd 3.65, 2 Ce 3.65
Ce: 0.8753 0.1247 0.0000  12 Pm 3.62-3.65
Pm: 0.1231 0.3731 0.2488  10 Pm 3.62-3.68, 1 Ce 3.63, 1 Nd 3.65
Pm: 0.3748 0.1248 0.5000  12 Pm 3.65-3.66
Pm: 0.3753 0.6247 0.5000  12 Pm 3.65-3.67

Output
Its formation enthalpy at 0 K is 31 meV/atom. The space-group type is Amm2. The calculation puts the total magnetic moment at 0.070 μB/atom.



Record 7
Density functional theory data (PBE) for crystalline InPPd at its relaxed geometry.

Unit cell a=3.6163 b=3.6180 c=10.1093 alpha=90.00 beta=90.00 gamma=119.98
Last column: nearest neighbours and their distance in Å.
Positions (direct):
Pd: 0.7779 0.5559 0.3678  3 P 2.48, 1 Pd 2.67
P: 0.4447 0.8894 0.5000  6 Pd 2.48
In: 0.1110 0.2219 0.1727  3 P 2.72, 3 Pd 2.87
P: 0.4441 0.8883 0.0000  6 In 2.72
In: 0.1110 0.2219 0.8273  3 P 2.72, 3 Pd 2.87
Pd: 0.7779 0.5559 0.6322  3 P 2.48, 1 Pd 2.67

Output
Its formation enthalpy at 0 K is -158 meV/atom. The space-group type is P-6m2. The calculation puts the total magnetic moment at 0.000 μB/atom.



Record 8
Density functional theory data (PBE) for crystalline LiP3O9 at its relaxed geometry.

Unit cell a=6.6720 b=8.0353 c=8.1260 alpha=79.01 beta=65.76 gamma=65.47
Last column: nearest neighbours and their distance in Å.
Positions (direct):
O: 0.3423 0.6164 0.3380  2 P 1.60-1.61
O: 0.2746 0.8781 0.1124  2 P 1.60-1.64
O: 0.7349 0.3781 0.6124  2 P 1.60-1.64
P: 0.5661 0.2676 0.7202  4 O 1.49-1.61
O: 0.7032 0.1164 0.8380  2 P 1.60-1.61
O: 0.1565 0.0467 0.7048  1 P 1.51
O: 0.6380 0.7135 0.6610  1 P 1.48
O: 0.0650 0.4797 0.5379  2 P 1.58-1.62
P: 0.9988 0.0234 0.1816  4 O 1.48-1.64
O: 0.4433 0.8824 0.3460  1 P 1.49
O: 0.9174 0.9797 0.0379  2 P 1.58-1.62
P: 0.7962 0.5234 0.6816  4 O 1.48-1.64
Li: 0.5307 0.9460 0.5267  5 O 1.99-2.19
O: 0.8701 0.9504 0.3627  1 P 1.52
P: 0.2242 0.4823 0.3316  4 O 1.51-1.60
O: 0.4118 0.2935 0.2724  1 P 1.52
O: 0.8169 0.4504 0.8627  1 P 1.52
Li: 0.9966 0.4460 0.0267  5 O 1.99-2.19
O: 0.6939 0.6775 0.0825  1 P 1.52
P: 0.9619 0.9823 0.8316  4 O 1.51-1.60
O: 0.5462 0.1775 0.5825  1 P 1.52
O: 0.9876 0.2135 0.1610  1 P 1.48
O: 0.0222 0.7935 0.7724  1 P 1.52
P: 0.4461 0.7676 0.2202  4 O 1.49-1.61
O: 0.0920 0.5467 0.2048  1 P 1.51
O: 0.3283 0.3824 0.8460  1 P 1.49

Output
The formation energy (no corrections) comes out at -1.7820 eV/atom. The space-group type is Cc. The calculation puts the total magnetic moment at 0.157 μB/atom.



Record 9
Density functional theory data (PBE) for crystalline SrTh5Se6 at its relaxed geometry.

Unit cell a=7.3480 b=7.3023 c=7.3119 alpha=60.04 beta=80.49 gamma=70.69
Last column: nearest neighbours and their distance in Å.
Positions (direct):
Sr: 0.0000 0.0000 0.0000  6 Se 3.00
Se: 0.7493 0.0841 0.3341  5 Th 2.98-2.99, 1 Sr 3.00
Th: 0.5000 0.1658 0.6685  6 Se 2.99
Se: 0.7493 0.4182 0.6659  5 Th 2.98-2.99, 1 Sr 3.00
Th: 0.5000 0.5000 0.0000  6 Se 2.98-2.99
Se: 0.2507 0.9159 0.6659  5 Th 2.98-2.99, 1 Sr 3.00
Se: 0.2490 0.2524 0.0000  5 Th 2.98-2.99, 1 Sr 3.00
Th: 0.0000 0.3325 0.3349  6 Se 2.98-2.99
Th: 0.5000 0.8342 0.3315  6 Se 2.99
Se: 0.2507 0.5818 0.3341  5 Th 2.98-2.99, 1 Sr 3.00
Se: 0.7510 0.7476 0.0000  5 Th 2.98-2.99, 1 Sr 3.00
Th: 0.0000 0.6675 0.6651  6 Se 2.98-2.99

Output
The formation energy (no corrections) comes out at -1.5827 eV/atom. The space-group type is C2/m. The calculation puts the total magnetic moment at 0.000 μB/atom.



Record 10
Density functional theory data (PBE) for crystalline SrBi2RhO at its relaxed geometry.

Unit cell a=6.1253 b=4.8889 c=6.1253 alpha=90.00 beta=90.00 gamma=90.00
Last column: nearest neighbours and their distance in Å.
Positions (direct):
Sr: 0.0000 0.0000 0.0000  2 Rh 2.44
Bi: 0.0000 0.0000 0.5000  2 Sr 3.06
O: 0.5000 0.5000 0.5000  8 Bi 3.92, 4 Rh 4.33
Rh: 0.0000 0.5000 0.0000  2 Sr 2.44
Bi: 0.5000 0.0000 0.0000  2 Sr 3.06

Output
The formation energy (no corrections) comes out at 1.5674 eV/atom. The space-group type is P4/mmm. The calculation puts the total magnetic moment at 0.000 μB/atom.



Record 11
Density functional theory data (PBE) for crystalline CePmHoLu at its relaxed geometry.

Unit cell a=5.6603 b=5.6603 c=5.6603 alpha=60.00 beta=60.00 gamma=60.00
Last column: nearest neighbours and their distance in Å.
Positions (direct):
Ce: 0.2500 0.2500 0.2500  4 Pm 3.47, 4 Ho 3.47
Pm: 0.5000 0.5000 0.5000  4 Ce 3.47, 4 Lu 3.47
Ho: 0.0000 0.0000 0.0000  4 Ce 3.47, 4 Lu 3.47
Lu: 0.7500 0.7500 0.7500  4 Ho 3.47, 4 Pm 3.47

Output
Its formation enthalpy at 0 K is 191 meV/atom. The space-group type is F-43m. The calculation puts the total magnetic moment at 0.768 μB/atom.



Record 12
Density functional theory data (PBE) for crystalline Cs2LaZnI6 at its relaxed geometry.

Unit cell a=8.8208 b=8.8208 c=8.8074 alpha=59.95 beta=59.95 gamma=90.00
Last column: nearest neighbours and their distance in Å.
Positions (direct):
I: 0.2536 0.2536 0.0000  1 Zn 3.07, 1 La 3.16
I: 0.7464 0.2536 0.0000  1 Zn 3.07, 1 La 3.16
I: 0.7457 0.7457 0.5085  1 Zn 3.06, 1 La 3.16
I: 0.2543 0.2543 0.4915  1 Zn 3.06, 1 La 3.16
Zn: 0.5000 0.5000 0.0000  6 I 3.06-3.07
I: 0.7464 0.7464 0.0000  1 Zn 3.07, 1 La 3.16
I: 0.2536 0.7464 0.0000  1 Zn 3.07, 1 La 3.16
Cs: 0.2500 0.7500 0.5000  12 I 4.40-4.41
Cs: 0.7500 0.2500 0.5000  12 I 4.40-4.41
La: 0.0000 0.0000 0.0000  6 I 3.16

Output
The formation energy (no corrections) comes out at -1.2100 eV/atom. The space-group type is I4/mmm. The calculation puts the total magnetic moment at 0.000 μB/atom.



| no. | final energy (eV/cell) |
| --- | --- |
| 1 | -73.85 |
| 2 | -72.29 |
| 3 | -10.54 |
| 4 | -14.77 |
| 5 | -29.09 |
| 6 | -76.71 |
| 7 | -27.63 |
| 8 | -171.87 |
| 9 | -78.68 |
| 10 | -13.92 |
| 11 | -19.02 |
| 12 | -29.31 |